A relaxed Ac4Cd5Sn6 crystal. Source: Alexandria, functional GGA-PBE.

Unit cell a=10.9616 b=10.9616 c=17.6032 alpha=90.00 beta=90.00 gamma=154.09
Fractional positions:
Ac: 0.0227 0.9773 0.5000
Ac: 0.0344 0.9656 0.7642
Ac: 0.1671 0.8329 0.3006
Ac: 0.1759 0.8241 0.9472
Ac: 0.8241 0.1759 0.4472
Ac: 0.8329 0.1671 0.8006
Ac: 0.9656 0.0344 0.2642
Ac: 0.9773 0.0227 0.0000
Cd: 0.1529 0.8471 0.6279
Cd: 0.3018 0.6982 0.6240
Cd: 0.3449 0.6551 0.2772
Cd: 0.3496 0.6504 0.9821
Cd: 0.4364 0.5636 0.6860
Cd: 0.5636 0.4364 0.1860
Cd: 0.6504 0.3496 0.4821
Cd: 0.6551 0.3449 0.7772
Cd: 0.6982 0.3018 0.1240
Cd: 0.8471 0.1529 0.1279
Sn: 0.1086 0.8914 0.1171
Sn: 0.2220 0.7780 0.4849
Sn: 0.2280 0.7720 0.7665
Sn: 0.4304 0.5696 0.1309
Sn: 0.4315 0.5685 0.4114
Sn: 0.4402 0.5598 0.8552
Sn: 0.5598 0.4402 0.3552
Sn: 0.5685 0.4315 0.9114
Sn: 0.5696 0.4304 0.6309
Sn: 0.7720 0.2280 0.2665
Sn: 0.7780 0.2220 0.9849
Sn: 0.8914 0.1086 0.6171

Properties
Total DFT energy (no corrections)   -104.90 eV for the cell shown
Spin magnetization   0.0 μB per cell
Symmetry   Cmc2_1, No. 36

A relaxed AcCd3Sn2 crystal. Source: Alexandria, functional GGA-PBE.

Unit cell a=9.8955 b=9.8955 c=11.4320 alpha=103.39 beta=103.39 gamma=27.41
Fractional positions:
Ac: 0.0000 0.0000 0.0000
Ac: 0.1562 0.1562 0.7150
Ac: 0.8438 0.8438 0.2850
Cd: 0.0388 0.0388 0.3694
Cd: 0.1987 0.1987 0.3649
Cd: 0.3451 0.3451 0.0284
Cd: 0.3789 0.3789 0.7908
Cd: 0.5000 0.5000 0.5000
Cd: 0.6211 0.6211 0.2092
Cd: 0.6549 0.6549 0.9716
Cd: 0.8013 0.8013 0.6351
Cd: 0.9612 0.9612 0.6306
Sn: 0.2087 0.2087 0.1139
Sn: 0.3461 0.3461 0.5119
Sn: 0.4681 0.4681 0.2176
Sn: 0.5319 0.5319 0.7824
Sn: 0.6539 0.6539 0.4881
Sn: 0.7913 0.7913 0.8861

Properties
Total DFT energy (no corrections)   -49.19 eV for the cell shown
Spin magnetization   0.0 μB per cell
Symmetry   C2/m, No. 12

A relaxed Ac3Cd5Sn2 crystal. Source: Alexandria, functional GGA-PBE.

Unit cell a=10.1088 b=10.1088 c=10.1088 alpha=96.92 beta=96.15 gamma=140.58
Fractional positions:
Ac: 0.1234 0.7263 0.8497
Ac: 0.2500 0.2500 0.0000
Ac: 0.3766 0.2263 0.6029
Ac: 0.6234 0.7737 0.3971
Ac: 0.7500 0.7500 0.0000
Ac: 0.8766 0.2737 0.1503
Cd: 0.0010 0.7500 0.2510
Cd: 0.1234 0.3784 0.5018
Cd: 0.2500 0.7500 0.5000
Cd: 0.3766 0.8784 0.2550
Cd: 0.4990 0.7500 0.7490
Cd: 0.5010 0.2500 0.2510
Cd: 0.6234 0.1216 0.7450
Cd: 0.7500 0.2500 0.5000
Cd: 0.8766 0.6216 0.4982
Cd: 0.9990 0.2500 0.7490
Sn: 0.1285 0.1680 0.2965
Sn: 0.3715 0.6680 0.0395
Sn: 0.6285 0.3320 0.9605
Sn: 0.8715 0.8320 0.7035

Properties
Total DFT energy (no corrections)   -55.92 eV for the cell shown
Spin magnetization   0.0 μB per cell
Symmetry   Ibam, No. 72

A relaxed AcCd12Sn4 crystal. Source: Alexandria, functional GGA-PBE.

Unit cell a=8.6371 b=8.6371 c=8.6371 alpha=109.47 beta=109.47 gamma=109.47
Fractional positions:
Ac: 0.0000 0.0000 0.0000
Cd: 0.1468 0.3545 0.5013
Cd: 0.1468 0.6455 0.7923
Cd: 0.2077 0.8532 0.3545
Cd: 0.3545 0.2077 0.8532
Cd: 0.3545 0.5013 0.1468
Cd: 0.4987 0.8532 0.6455
Cd: 0.5013 0.1468 0.3545
Cd: 0.6455 0.4987 0.8532
Cd: 0.6455 0.7923 0.1468
Cd: 0.7923 0.1468 0.6455
Cd: 0.8532 0.3545 0.2077
Cd: 0.8532 0.6455 0.4987
Sn: 0.0000 0.0000 0.5000
Sn: 0.0000 0.5000 0.0000
Sn: 0.5000 0.0000 0.0000
Sn: 0.5000 0.5000 0.5000

Properties
Total DFT energy (no corrections)   -29.73 eV for the cell shown
Spin magnetization   0.0 μB per cell
Symmetry   Im-3, No. 204

A relaxed Ac2CdSn3 crystal. Source: Alexandria, functional GGA-PBE.

Unit cell a=6.6694 b=6.6694 c=7.9328 alpha=125.97 beta=125.97 gamma=42.69
Fractional positions:
Ac: 0.0000 0.0000 0.0000
Ac: 0.1195 0.1195 0.6239
Cd: 0.7231 0.7231 0.4060
Sn: 0.3905 0.3905 0.5900
Sn: 0.4143 0.4143 0.2084
Sn: 0.7119 0.7119 0.0048

Properties
Total DFT energy (no corrections)   -24.36 eV for the cell shown
Spin magnetization   0.0 μB per cell
ΔE to the lowest computed polymorph   0.000 eV per formula unit
Symmetry   Cm, No. 8

A relaxed AcCd4Sn2 crystal. Source: Alexandria, functional GGA-PBE.

Unit cell a=9.1879 b=9.1879 c=9.1879 alpha=32.25 beta=32.25 gamma=32.25
Fractional positions:
Ac: 0.0000 0.0000 0.0000
Cd: 0.1372 0.1372 0.1372
Cd: 0.4016 0.4016 0.4016
Cd: 0.5984 0.5984 0.5984
Cd: 0.8628 0.8628 0.8628
Sn: 0.2503 0.2503 0.2503
Sn: 0.7497 0.7497 0.7497

Properties
Total DFT energy (no corrections)   -17.28 eV for the cell shown
Spin magnetization   0.0 μB per cell
ΔE to the lowest computed polymorph   0.098 eV per formula unit
Symmetry   R-3m, No. 166

A relaxed Ac3CdSn4 crystal. Source: Alexandria, functional GGA-PBE.

Unit cell a=9.5698 b=9.5698 c=9.5698 alpha=149.90 beta=138.39 gamma=52.21
Fractional positions:
Ac: 0.0000 0.0000 0.0000
Ac: 0.3089 0.8089 0.5000
Ac: 0.6911 0.1911 0.5000
Cd: 0.5000 0.5000 0.0000
Sn: 0.0860 0.3755 0.7105
Sn: 0.3350 0.6245 0.7105
Sn: 0.6650 0.3755 0.2895
Sn: 0.9140 0.6245 0.2895

Properties
Total DFT energy (no corrections)   -32.99 eV for the cell shown
Spin magnetization   0.0 μB per cell
Symmetry   Immm, No. 71

A relaxed Ac3Cd3Sn2 crystal. Source: Alexandria, functional GGA-PBE.

Unit cell a=6.5367 b=6.5367 c=16.8048 alpha=90.00 beta=90.00 gamma=135.42
Fractional positions:
Ac: 0.0829 0.9171 0.6082
Ac: 0.0829 0.9171 0.8918
Ac: 0.3579 0.6421 0.7500
Ac: 0.6421 0.3579 0.2500
Ac: 0.9171 0.0829 0.1082
Ac: 0.9171 0.0829 0.3918
Cd: 0.3642 0.6358 0.2500
Cd: 0.3834 0.6166 0.5343
Cd: 0.3834 0.6166 0.9657
Cd: 0.6166 0.3834 0.0343
Cd: 0.6166 0.3834 0.4657
Cd: 0.6358 0.3642 0.7500
Sn: 0.2089 0.7911 0.1073
Sn: 0.2089 0.7911 0.3927
Sn: 0.7911 0.2089 0.6073
Sn: 0.7911 0.2089 0.8927

Properties
Total DFT energy (no corrections)   -54.00 eV for the cell shown
Spin magnetization   0.0 μB per cell
Symmetry   Cmcm, No. 63

A relaxed Ac2Cd2Sn crystal. Source: Alexandria, functional GGA-PBE.

Unit cell a=6.6440 b=6.6440 c=10.8383 alpha=110.22 beta=110.22 gamma=45.36
Fractional positions:
Ac: 0.0965 0.0965 0.3737
Ac: 0.1664 0.1664 0.0463
Ac: 0.8336 0.8336 0.9537
Ac: 0.9035 0.9035 0.6263
Cd: 0.4023 0.4023 0.3674
Cd: 0.4953 0.4953 0.8602
Cd: 0.5047 0.5047 0.1398
Cd: 0.5977 0.5977 0.6326
Sn: 0.2332 0.2332 0.7170
Sn: 0.7668 0.7668 0.2830

Properties
Total DFT energy (no corrections)   -32.34 eV for the cell shown
Spin magnetization   0.0 μB per cell
ΔE to the lowest computed polymorph   0.000 eV per formula unit
Symmetry   C2/m, No. 12

A relaxed Ac2CdSn3 crystal. Source: Alexandria, functional GGA-PBE.

Unit cell a=4.4896 b=4.9919 c=8.5102 alpha=90.00 beta=90.00 gamma=90.00
Fractional positions:
Ac: 0.0000 0.0000 0.0000
Ac: 0.0000 0.5000 0.4875
Cd: 0.5000 0.5000 0.8223
Sn: 0.5000 0.0000 0.3296
Sn: 0.5000 0.0000 0.6685
Sn: 0.5000 0.5000 0.1543

Properties
Total DFT energy (no corrections)   -24.29 eV for the cell shown
Spin magnetization   0.0 μB per cell
ΔE to the lowest computed polymorph   0.064 eV per formula unit
Symmetry   Pmm2, No. 25

A relaxed Ac3Cd9Sn2 crystal. Source: Alexandria, functional GGA-PBE.

Unit cell a=9.3089 b=9.3089 c=9.3089 alpha=149.12 beta=107.95 gamma=80.42
Fractional positions:
Ac: 0.0000 0.0000 0.0000
Ac: 0.3082 0.3082 0.0000
Ac: 0.6918 0.6918 0.0000
Cd: 0.0319 0.6612 0.3707
Cd: 0.1295 0.8561 0.2733
Cd: 0.2905 0.6612 0.6293
Cd: 0.4172 0.1439 0.2733
Cd: 0.5000 0.0000 0.5000
Cd: 0.5828 0.8561 0.7267
Cd: 0.7095 0.3388 0.3707
Cd: 0.8705 0.1439 0.7267
Cd: 0.9681 0.3388 0.6293
Sn: 0.2975 0.5000 0.7975
Sn: 0.7025 0.5000 0.2025

Properties
Total DFT energy (no corrections)   -33.07 eV for the cell shown
Spin magnetization   0.0 μB per cell
Symmetry   Immm, No. 71

A relaxed Ac2Cd2Sn3 crystal. Source: Alexandria, functional GGA-PBE.

Unit cell a=6.4620 b=6.4620 c=7.7113 alpha=105.78 beta=105.78 gamma=43.40
Fractional positions:
Ac: 0.1324 0.1324 0.2800
Ac: 0.8676 0.8676 0.7200
Cd: 0.1666 0.1666 0.7464
Cd: 0.8334 0.8334 0.2536
Sn: 0.3963 0.3963 0.0640
Sn: 0.5000 0.5000 0.5000
Sn: 0.6037 0.6037 0.9360

Properties
Total DFT energy (no corrections)   -25.33 eV for the cell shown
Spin magnetization   0.0 μB per cell
ΔE to the lowest computed polymorph   0.072 eV per formula unit
Symmetry   C2/m, No. 12

A relaxed AcCdSn crystal. Source: Alexandria, functional GGA-PBE.

Unit cell a=4.8410 b=4.8410 c=4.6528 alpha=90.00 beta=90.00 gamma=120.00
Fractional positions:
Ac: 0.0000 0.0000 0.0000
Cd: 0.6667 0.3333 0.4686
Sn: 0.3333 0.6667 0.5229

Properties
Total DFT energy (no corrections)   -10.62 eV for the cell shown
Spin magnetization   0.0 μB per cell
ΔE to the lowest computed polymorph   0.090 eV per formula unit
Symmetry   P3m1, No. 156

A relaxed Ac4Cd3Sn5 crystal. Source: Alexandria, functional GGA-PBE.

Unit cell a=8.1194 b=8.1194 c=13.6420 alpha=120.83 beta=120.83 gamma=36.87
Fractional positions:
Ac: 0.1194 0.1194 0.4742
Ac: 0.2450 0.2450 0.8282
Ac: 0.7550 0.7550 0.1718
Ac: 0.8806 0.8806 0.5258
Cd: 0.0000 0.0000 0.0000
Cd: 0.3949 0.3949 0.1279
Cd: 0.6051 0.6051 0.8721
Sn: 0.2294 0.2294 0.3210
Sn: 0.4371 0.4371 0.3671
Sn: 0.5000 0.5000 0.0000
Sn: 0.5629 0.5629 0.6329
Sn: 0.7706 0.7706 0.6790

Properties
Total DFT energy (no corrections)   -42.23 eV for the cell shown
Spin magnetization   0.0 μB per cell
Symmetry   C2/m, No. 12

A relaxed Ac2Cd5Sn3 crystal. Source: Alexandria, functional GGA-PBE.

Unit cell a=4.9028 b=4.9028 c=11.8881 alpha=90.00 beta=90.00 gamma=90.00
Fractional positions:
Ac: 0.0000 0.5000 0.2394
Ac: 0.5000 0.0000 0.7606
Cd: 0.0000 0.0000 0.0000
Cd: 0.0000 0.0000 0.5000
Cd: 0.0000 0.5000 0.8773
Cd: 0.5000 0.0000 0.1227
Cd: 0.5000 0.5000 0.0000
Sn: 0.0000 0.5000 0.6447
Sn: 0.5000 0.0000 0.3553
Sn: 0.5000 0.5000 0.5000

Properties
Total DFT energy (no corrections)   -27.44 eV for the cell shown
Spin magnetization   0.0 μB per cell
ΔE to the lowest computed polymorph   0.805 eV per formula unit
Symmetry   P-4m2, No. 115

A relaxed AcCd4Sn2 crystal. Source: Alexandria, functional GGA-PBE.

Unit cell a=8.8753 b=8.8753 c=4.8002 alpha=90.00 beta=90.00 gamma=90.00
Fractional positions:
Ac: 0.0000 0.0000 0.0000
Ac: 0.5000 0.5000 0.5000
Cd: 0.0929 0.3498 0.5000
Cd: 0.1502 0.5929 0.0000
Cd: 0.3498 0.0929 0.5000
Cd: 0.4071 0.8498 0.0000
Cd: 0.5929 0.1502 0.0000
Cd: 0.6502 0.9071 0.5000
Cd: 0.8498 0.4071 0.0000
Cd: 0.9071 0.6502 0.5000
Sn: 0.2068 0.7932 0.5000
Sn: 0.2932 0.2932 0.0000
Sn: 0.7068 0.7068 0.0000
Sn: 0.7932 0.2068 0.5000

Properties
Total DFT energy (no corrections)   -34.76 eV for the cell shown
Spin magnetization   0.0 μB per cell
ΔE to the lowest computed polymorph   0.000 eV per formula unit
Symmetry   P4_2/mnm, No. 136

A relaxed AcCd3Sn2 crystal. Source: Alexandria, functional GGA-PBE.

Unit cell a=8.9218 b=8.9218 c=9.3855 alpha=118.58 beta=118.58 gamma=31.76
Fractional positions:
Ac: 0.1430 0.1430 0.2022
Ac: 0.8570 0.8570 0.7978
Cd: 0.0647 0.0647 0.7268
Cd: 0.2779 0.2779 0.9697
Cd: 0.4091 0.4091 0.5018
Cd: 0.5909 0.5909 0.4982
Cd: 0.7221 0.7221 0.0303
Cd: 0.9353 0.9353 0.2732
Sn: 0.1951 0.1951 0.6043
Sn: 0.4760 0.4760 0.1307
Sn: 0.5240 0.5240 0.8693
Sn: 0.8049 0.8049 0.3957

Properties
Total DFT energy (no corrections)   -32.81 eV for the cell shown
Spin magnetization   0.0 μB per cell
Symmetry   C2/m, No. 12

A relaxed Ac2Cd3Sn5 crystal. Source: Alexandria, functional GGA-PBE.

Unit cell a=9.8653 b=9.8653 c=9.8653 alpha=115.34 beta=82.40 gamma=134.77
Fractional positions:
Ac: 0.1247 0.2480 0.3727
Ac: 0.3753 0.7480 0.1232
Ac: 0.6247 0.2520 0.8768
Ac: 0.8753 0.7520 0.6273
Cd: 0.1270 0.6159 0.7428
Cd: 0.2500 0.2500 0.0000
Cd: 0.3730 0.1159 0.4889
Cd: 0.6270 0.8841 0.5111
Cd: 0.7500 0.7500 0.0000
Cd: 0.8730 0.3841 0.2572
Sn: 0.0009 0.2500 0.7509
Sn: 0.1175 0.8772 0.9947
Sn: 0.2500 0.7500 0.5000
Sn: 0.3825 0.3772 0.7596
Sn: 0.4991 0.2500 0.2491
Sn: 0.5009 0.7500 0.7509
Sn: 0.6175 0.6228 0.2404
Sn: 0.7500 0.2500 0.5000
Sn: 0.8825 0.1228 0.0053
Sn: 0.9991 0.7500 0.2491

Properties
Total DFT energy (no corrections)   -67.48 eV for the cell shown
Spin magnetization   0.0 μB per cell
Symmetry   Ibam, No. 72

no.,energy of formation (eV/atom)
1,-0.4948
2,-0.2561
3,-0.3051
4,0.0806
5,-0.5361
6,-0.2156
7,-0.4676
8,-0.4907
9,-0.4237
10,-0.5255
11,-0.3218
12,-0.4683
13,-0.5299
14,-0.2533
15,-0.2637
16,-0.2296
17,-0.2577
18,-0.2763